No. 1
Na2LaGaS4: optimized geometry, PBE.

Lattice parameters (Å, degrees): 8.012 8.012 8.391 121.33 121.33 90.74
Fractional positions:
1 S 0.765 0.772 0.968
2 S 0.247 0.754 0.999
3 S 0.235 0.228 0.032
4 S 0.753 0.246 0.001
5 S 0.746 0.253 0.501
6 S 0.728 0.735 0.532
7 S 0.272 0.265 0.468
8 S 0.254 0.747 0.499
9 La 0.000 0.500 0.000
10 La 0.000 0.500 0.500
11 Na 0.500 0.500 0.000
12 Na 0.500 0.000 0.000
13 Na 0.500 0.000 0.500
14 Na 0.000 0.000 0.500
15 Ga 0.500 0.500 0.500
16 Ga 0.000 0.000 0.000

* calculated volume: 362.2 Å³/cell
* formation energy from raw total energies: -1.25 eV per atom

No. 2
Na4La3GaS8: optimized geometry, PBE.

Lattice parameters (Å, degrees): 8.170 8.206 8.253 120.10 119.67 90.00
Fractional positions:
1 Ga 0.000 0.500 0.000
2 S 0.259 0.751 0.517
3 S 0.781 0.713 0.995
4 S 0.743 0.737 0.487
5 S 0.219 0.287 0.005
6 S 0.741 0.249 0.483
7 S 0.786 0.287 0.005
8 S 0.257 0.263 0.513
9 S 0.214 0.713 0.995
10 La 0.500 0.500 0.000
11 La 0.000 0.500 0.500
12 La 0.500 0.500 0.500
13 Na 0.000 0.000 0.000
14 Na 0.000 0.000 0.500
15 Na 0.500 0.000 0.500
16 Na 0.500 0.000 0.000

* calculated volume: 392.6 Å³/cell
* formation energy from raw total energies: -1.53 eV per atom

No. 3
NaLa2GaS5: optimized geometry, PBE.

Lattice parameters (Å, degrees): 3.965 8.977 11.783 90.00 90.00 102.76
Fractional positions:
1 S 0.675 0.350 0.853
2 S 0.362 0.723 0.004
3 S 0.638 0.277 0.504
4 S 0.506 0.011 0.274
5 S 0.960 0.919 0.551
6 S 0.325 0.650 0.353
7 S 0.710 0.420 0.186
8 S 0.494 0.989 0.774
9 S 0.040 0.081 0.051
10 S 0.290 0.580 0.686
11 Na 0.207 0.414 0.017
12 Na 0.793 0.586 0.517
13 La 0.866 0.732 0.812
14 La 0.119 0.238 0.683
15 La 0.134 0.268 0.312
16 La 0.881 0.762 0.183
17 Ga 0.558 0.116 0.944
18 Ga 0.442 0.884 0.444

* calculated volume: 409.0 Å³/cell
* formation energy from raw total energies: -1.61 eV per atom

No. 4
NaLa6Ga3S14: optimized geometry, PBE.

Lattice parameters (Å, degrees): 10.255 10.255 6.153 90.00 90.00 120.00
Fractional positions:
1 Ga 0.000 0.000 0.222
2 Ga 0.333 0.667 0.083
3 Ga 0.667 0.333 0.589
4 S 0.901 0.416 0.737
5 S 0.909 0.764 0.448
6 S 0.481 0.901 0.237
7 S 0.089 0.240 0.995
8 S 0.584 0.485 0.737
9 S 0.515 0.099 0.737
10 S 0.333 0.667 0.716
11 S 0.855 0.091 0.448
12 S 0.420 0.519 0.237
13 S 0.667 0.333 0.221
14 S 0.151 0.911 0.995
15 S 0.236 0.145 0.448
16 S 0.099 0.580 0.237
17 S 0.760 0.849 0.995
18 La 0.375 0.237 0.011
19 La 0.140 0.375 0.497
20 La 0.235 0.860 0.497
21 La 0.625 0.765 0.497
22 La 0.862 0.625 0.011
23 La 0.763 0.138 0.011
24 Na 0.000 0.000 0.728

* calculated volume: 560.4 Å³/cell
* formation energy from raw total energies: -1.67 eV per atom